(1)
4
Lattice="2.7709 0.0000 0.0000 0.0000 4.1961 0.0000 0.0000 0.0000 5.9807" Properties=species:S:1:pos:R:3 comment="MgAg2Mo PBE-GGA relaxed" sg="No. 25" m_tot_mub_per_cell=0.0 formation_enthalpy_0k_ev_per_atom=0.36 rho_g_cm3=8.023 pbc="T T T"
Mg 0.0000 0.0000 0.0000
Ag 0.0000 0.0000 2.9822
Ag 1.3855 2.0980 4.5567
Mo 1.3855 2.0980 1.5675


(2)
4
Lattice="2.8327 0.0000 0.0000 0.0000 4.9831 0.0000 0.0000 0.0000 4.9862" Properties=species:S:1:pos:R:3 comment="MgAg2Mo PBE-GGA relaxed" sg="No. 47" m_tot_mub_per_cell=0.0 formation_enthalpy_0k_ev_per_atom=0.44 rho_g_cm3=7.927 pbc="T T T"
Mg 0.0000 0.0000 0.0000
Ag 0.0000 2.4915 2.4931
Ag 1.4164 2.4915 0.0000
Mo 1.4164 0.0000 2.4931


(3)
5
Lattice="-1.9225 1.9225 6.6810 1.9225 -1.9225 6.6810 1.9225 1.9225 -6.6810" Properties=species:S:1:pos:R:3 comment="Mg2AgMo2 PBE-GGA relaxed" sg="No. 139" m_tot_mub_per_cell=0.0 formation_enthalpy_0k_ev_per_atom=0.89 rho_g_cm3=5.857 pbc="T T T"
Mg 1.9225 0.0000 3.3405
Mg 0.0000 1.9225 3.3405
Ag 0.0000 0.0000 0.0000
Mo 0.0000 0.0000 5.5861
Mo 0.0000 0.0000 7.7760


(4)
4
Lattice="2.7646 0.0000 0.0000 0.0000 4.2850 0.0000 0.0000 0.0000 5.8685" Properties=species:S:1:pos:R:3 comment="MgAg2Mo PBE-GGA relaxed" sg="No. 47" m_tot_mub_per_cell=0.6 formation_enthalpy_0k_ev_per_atom=0.33 rho_g_cm3=8.025 pbc="T T T"
Mg 0.0000 0.0000 0.0000
Ag 1.3823 2.1425 1.4961
Ag 1.3823 2.1425 4.3724
Mo 0.0000 0.0000 2.9342


Asked for total energy across the records above, the calculation gives -4.176 -4.095 -4.652 -4.203 eV per atom in order.
Asked for Fermi-level density of states across the records above, the calculation gives 3.4 3.1 3.0 2.4 states/eV per cell in order.